Density functional theory data (PBE) for a relaxed LaBeOs2 crystal.

Values from the calculation:
- energy (Ry/atom) = -0.5492
- calculated volume (Å³ per cell) = 174
- calculated formation energy (eV per formula unit) = 1.222
- space-group type = No. 122

Cell: 8.599 8.599 8.599 Å, 148.40 148.40 45.29°
Fractional positions:
La 0.000 0.000 0.000
La 0.750 0.250 0.500
Be 0.250 0.750 0.500
Be 0.500 0.500 0.000
Os 0.330 0.625 0.205
Os 0.375 0.580 0.705
Os 0.420 0.125 0.795
Os 0.875 0.670 0.295